Record 1
Material: Mo12P
Method: DFT, PBE
State: optimized geometry

Structure (CIF):
```
data_Mo12P
_chemical_formula_sum 'Mo72 P6'
_cell_length_a 9.7718
_cell_length_b 9.7718
_cell_length_c 15.1249
_cell_angle_alpha 90.00
_cell_angle_beta 90.00
_cell_angle_gamma 120.00
_space_group_name_H-M_alt 'R 3'
_space_group_IT_number 146
_space_group_name_Hall 'R 3'
loop_
_atom_site_label
_atom_site_type_symbol
_atom_site_fract_x
_atom_site_fract_y
_atom_site_fract_z
_atom_site_occupancy
Mo1 Mo 0.0053 0.8304 0.0415 1
Mo2 Mo 0.0482 0.2844 0.1466 1
Mo3 Mo 0.0543 0.5958 0.1148 1
Mo4 Mo 0.0709 0.1883 0.7517 1
Mo5 Mo 0.1016 0.7189 0.8947 1
Mo6 Mo 0.1522 0.4248 0.5854 1
Mo7 Mo 0.1582 0.4877 0.0000 1
Mo8 Mo 0.1905 0.1203 0.6105 1
P1 P 0.0000 0.0000 0.1860 1
P2 P 0.0000 0.0000 0.4732 1
```

Summary:
- relative energy among the computed polymorphs (meV per atom) = 0.0
- magnetic moment (μB/f.u.) = 0.00
- formation energy (eV/atom) = 0.21

Record 2
Material: DyHoMgAu
Method: DFT, PBE
State: optimized geometry

Structure (CIF):
```
data_DyHoMgAu
_chemical_formula_sum 'Dy1 Ho1 Mg1 Au1'
_cell_length_a 3.6925
_cell_length_b 3.6925
_cell_length_c 7.2607
_cell_angle_alpha 90.00
_cell_angle_beta 90.00
_cell_angle_gamma 90.00
_space_group_name_H-M_alt 'P 4 m m'
_space_group_IT_number 99
loop_
_space_group_symop_operation_xyz
'x,y,z'
'-y,x,z'
'-x,-y,z'
'y,-x,z'
'-x,y,z'
'y,x,z'
'x,-y,z'
'-y,-x,z'
loop_
_atom_site_label
_atom_site_type_symbol
_atom_site_fract_x
_atom_site_fract_y
_atom_site_fract_z
_atom_site_occupancy
Dy1 Dy 0.0000 0.0000 0.0000 1
Ho1 Ho 0.0000 0.0000 0.5300 1
Mg1 Mg 0.5000 0.5000 0.2665 1
Au1 Au 0.5000 0.5000 0.7618 1
```

Summary:
- relative energy among the computed polymorphs (meV per atom) = 0.0
- magnetic moment (μB/f.u.) = 0.00
- formation energy (eV/atom) = -0.47

Record 3
Material: Ag2SnPb
Method: DFT, PBE
State: optimized geometry

Structure (CIF):
```
data_Ag2SnPb
_chemical_formula_sum 'Ag6 Sn3 Pb3'
_cell_length_a 4.3341
_cell_length_b 4.3341
_cell_length_c 18.9913
_cell_angle_alpha 90.00
_cell_angle_beta 90.00
_cell_angle_gamma 120.00
_space_group_name_H-M_alt 'R 3 m'
_space_group_IT_number 160
_space_group_name_Hall 'R 3 -2"'
loop_
_atom_site_label
_atom_site_type_symbol
_atom_site_fract_x
_atom_site_fract_y
_atom_site_fract_z
_atom_site_occupancy
Ag1 Ag 0.0000 0.0000 0.0000 1
Ag2 Ag 0.0000 0.0000 0.1542 1
Sn1 Sn 0.0000 0.0000 0.4072 1
Pb1 Pb 0.0000 0.0000 0.5808 1
```

Summary:
- relative energy among the computed polymorphs (meV per atom) = 69.9
- magnetic moment (μB/f.u.) = 0.00
- formation energy (eV/atom) = 0.16

Record 4
Material: CdTcAu
Method: DFT, PBE
State: optimized geometry

Structure (CIF):
```
data_CdTcAu
_chemical_formula_sum 'Cd1 Tc1 Au1'
_cell_length_a 2.8775
_cell_length_b 2.8775
_cell_length_c 7.2367
_cell_angle_alpha 90.00
_cell_angle_beta 90.00
_cell_angle_gamma 120.00
_space_group_name_H-M_alt 'P 3 m 1'
_space_group_IT_number 156
loop_
_space_group_symop_operation_xyz
'x,y,z'
'-y,x-y,z'
'-x+y,-x,z'
'-y,-x,z'
'-x+y,y,z'
'x,x-y,z'
loop_
_atom_site_label
_atom_site_type_symbol
_atom_site_fract_x
_atom_site_fract_y
_atom_site_fract_z
_atom_site_occupancy
Cd1 Cd 0.0000 0.0000 0.0000 1
Tc1 Tc 0.6667 0.3333 0.3328 1
Au1 Au 0.3333 0.6667 0.6499 1
```

Summary:
- relative energy among the computed polymorphs (meV per atom) = 44.6
- magnetic moment (μB/f.u.) = 0.00
- formation energy (eV/atom) = 0.31

Record 5
Material: CsHfS3
Method: DFT, PBE
State: optimized geometry

Structure (CIF):
```
data_CsHfS3
_chemical_formula_sum 'Cs2 Hf2 S6'
_cell_length_a 7.1024
_cell_length_b 7.1503
_cell_length_c 8.4066
_cell_angle_alpha 86.43
_cell_angle_beta 68.01
_cell_angle_gamma 64.00
_space_group_name_H-M_alt 'P 1'
_space_group_IT_number 1
loop_
_space_group_symop_operation_xyz
'x,y,z'
loop_
_atom_site_label
_atom_site_type_symbol
_atom_site_fract_x
_atom_site_fract_y
_atom_site_fract_z
_atom_site_occupancy
Cs1 Cs 0.0000 0.0000 0.0000 1
Cs2 Cs 0.3994 0.7554 0.3471 1
Hf1 Hf 0.5474 0.2197 0.6906 1
Hf2 Hf 0.8884 0.4797 0.5640 1
S1 S 0.2294 0.2611 0.6238 1
S2 S 0.5227 0.5300 0.8119 1
S3 S 0.5246 0.0169 0.9503 1
S4 S 0.7959 0.8449 0.7147 1
S5 S 0.8474 0.2112 0.4236 1
S6 S 0.9685 0.6488 0.3222 1
```

Summary:
- E_form (uncorrected) (eV/atom) = -1.3052
- relative energy among the computed polymorphs (meV per atom) = 92.0
- magnetic moment (μB/f.u.) = 0.00

Record 6
Material: ZnFe2Pb
Method: DFT, PBE
State: optimized geometry

Structure (CIF):
```
data_ZnFe2Pb
_chemical_formula_sum 'Zn4 Fe8 Pb4'
_cell_length_a 6.3305
_cell_length_b 6.3305
_cell_length_c 6.3305
_cell_angle_alpha 90.00
_cell_angle_beta 90.00
_cell_angle_gamma 90.00
_space_group_name_H-M_alt 'F -4 3 m'
_space_group_IT_number 216
_space_group_name_Hall 'F -4 2 3'
loop_
_atom_site_label
_atom_site_type_symbol
_atom_site_fract_x
_atom_site_fract_y
_atom_site_fract_z
_atom_site_occupancy
Zn1 Zn 0.0000 0.0000 0.0000 1
Fe1 Fe 0.0000 0.0000 0.5000 1
Fe2 Fe 0.2500 0.2500 0.7500 1
Pb1 Pb 0.2500 0.2500 0.2500 1
```

Summary:
- magnetic moment (μB/f.u.) = 4.79
- formation energy (eV/atom) = 0.52

Record 7
Material: MgOsRh2
Method: DFT, PBE
State: optimized geometry

Structure (CIF):
```
data_MgOsRh2
_chemical_formula_sum 'Mg1 Os1 Rh2'
_cell_length_a 4.6068
_cell_length_b 4.6068
_cell_length_c 2.7867
_cell_angle_alpha 90.00
_cell_angle_beta 90.00
_cell_angle_gamma 90.00
_space_group_name_H-M_alt 'P 4/m m m'
_space_group_IT_number 123
_space_group_name_Hall '-P 4 2'
loop_
_atom_site_label
_atom_site_type_symbol
_atom_site_fract_x
_atom_site_fract_y
_atom_site_fract_z
_atom_site_occupancy
Mg1 Mg 0.0000 0.0000 0.0000 1
Os1 Os 0.5000 0.5000 0.0000 1
Rh1 Rh 0.0000 0.5000 0.5000 1
```

Summary:
- magnetic moment (μB/f.u.) = 0.72
- formation energy (eV/atom) = -0.01

Record 8
Material: Sm2Hg3Rh
Method: DFT, PBE
State: optimized geometry

Structure (CIF):
```
data_Sm2Hg3Rh
_chemical_formula_sum 'Sm2 Hg3 Rh1'
_cell_length_a 3.5400
_cell_length_b 4.9204
_cell_length_c 8.3960
_cell_angle_alpha 90.00
_cell_angle_beta 90.00
_cell_angle_gamma 90.00
_space_group_name_H-M_alt 'P m m 2'
_space_group_IT_number 25
loop_
_space_group_symop_operation_xyz
'x,y,z'
'-x,-y,z'
'-x,y,z'
'x,-y,z'
loop_
_atom_site_label
_atom_site_type_symbol
_atom_site_fract_x
_atom_site_fract_y
_atom_site_fract_z
_atom_site_occupancy
Sm1 Sm 0.0000 0.0000 0.0000 1
Sm2 Sm 0.0000 0.5000 0.4251 1
Hg1 Hg 0.5000 0.0000 0.6052 1
Hg2 Hg 0.5000 0.5000 0.1182 1
Hg3 Hg 0.5000 0.5000 0.7791 1
Rh1 Rh 0.5000 0.0000 0.2744 1
```

Summary:
- magnetic moment (μB/f.u.) = 0.00
- formation energy (eV/atom) = -0.46

Record 9
Material: Nd8NiSn2
Method: DFT, PBE
State: optimized geometry

Structure (CIF):
```
data_Nd8NiSn2
_chemical_formula_sum 'Nd16 Ni2 Sn4'
_cell_length_a 19.6290
_cell_length_b 5.0487
_cell_length_c 7.0059
_cell_angle_alpha 90.00
_cell_angle_beta 104.08
_cell_angle_gamma 90.00
_space_group_name_H-M_alt 'C 1 2/m 1'
_space_group_IT_number 12
loop_
_space_group_symop_operation_xyz
'x,y,z'
'-x,-y,-z'
'-x,y,-z'
'x,-y,z'
'x+1/2,y+1/2,z'
'-x+1/2,-y+1/2,-z'
'-x+1/2,y+1/2,-z'
'x+1/2,-y+1/2,z'
loop_
_atom_site_label
_atom_site_type_symbol
_atom_site_fract_x
_atom_site_fract_y
_atom_site_fract_z
_atom_site_occupancy
Nd1 Nd 0.0135 0.0000 0.2841 1
Nd2 Nd 0.0916 0.5000 0.9760 1
Nd3 Nd 0.1447 0.5000 0.5019 1
Nd4 Nd 0.2159 0.0000 0.8202 1
Ni1 Ni 0.0000 0.5000 0.5000 1
Sn1 Sn 0.1812 0.0000 0.2575 1
```

Summary:
- magnetic moment (μB/f.u.) = 0.00
- formation energy (eV/atom) = -0.33

Record 10
Material: CrNi2Ir
Method: DFT, PBE
State: optimized geometry

Structure (CIF):
```
data_CrNi2Ir
_chemical_formula_sum 'Cr2 Ni4 Ir2'
_cell_length_a 8.5034
_cell_length_b 2.6264
_cell_length_c 4.4117
_cell_angle_alpha 90.00
_cell_angle_beta 100.63
_cell_angle_gamma 90.00
_space_group_name_H-M_alt 'C 1 m 1'
_space_group_IT_number 8
loop_
_space_group_symop_operation_xyz
'x,y,z'
'x,-y,z'
'x+1/2,y+1/2,z'
'x+1/2,-y+1/2,z'
loop_
_atom_site_label
_atom_site_type_symbol
_atom_site_fract_x
_atom_site_fract_y
_atom_site_fract_z
_atom_site_occupancy
Cr1 Cr 0.0000 0.0000 0.0000 1
Ni1 Ni 0.2474 0.5000 0.2607 1
Ni2 Ni 0.4968 0.0000 0.4864 1
Ir1 Ir 0.2478 0.0000 0.7603 1
```

Summary:
- magnetic moment (μB/f.u.) = 1.03
- formation energy (eV/atom) = -0.02

It is found that the DOS at the Fermi energy values, taken in the order of the records, are 0.715; 0.828; 0.493; 0.744; 0.000; 0.703; 1.240; 0.840; 0.840; 1.465 states/eV/atom.